A plane-wave DFT calculation with PBE was carried out for a geometry-optimized BeInO2 structure.

Cell and atoms, written as POSCAR:
```
BeInO2
1.0
1.796 1.037 5.160
-1.796 1.037 5.160
0.000 -2.074 5.160
Be In O
1 1 2
direct
0.000 0.000 0.000
0.500 0.500 0.500
0.094 0.094 0.094
0.906 0.906 0.906
```

Values from the calculation:
Magnetic moment (μB/f.u.): 0.00
V (Å³ per cell): 57.7
DOS at the Fermi energy (states/eV per cell): 1.56
E_form (uncorrected) (eV/atom): -1.4184
Space-group type: R-3m, No. 166